Entry from the Alexandria database: a geometry-optimized MnCr2Os structure (PBE-GGA).

The structure in POSCAR format:
```
MnCr2Os
1.0
-1.4406 2.0805 4.0816
1.4406 -2.0805 4.0816
1.4406 2.0805 -4.0816
Mn Cr Os
1 2 1
Cartesian
0.0000 0.0000 0.0000
0.0000 0.0000 4.3251
0.0000 2.0805 2.0881
1.4406 0.0000 2.2001
```

Results
Total magnetic moment, μB/cell: 0.623
Energy of formation, eV/atom: 0.105
Theoretical density, Mg/m³: 11.85